# 1
This record from Alexandria via LeMat-Bulk describes CsKCd2Ag after structural relaxation. The functional is PBE.

Unit cell a=5.619 b=5.619 c=6.219 alpha=90.00 beta=90.00 gamma=90.00
Fractional positions:
Cs1 0.000 0.000 0.000
K1 0.500 0.500 0.000
Cd1 0.000 0.500 0.500
Cd2 0.500 0.000 0.500
Ag1 0.500 0.500 0.500

Values from the calculation:
- DFT formation energy: 0.031 eV/atom
- SG: P4/mmm, No. 123
- Relative energy among the computed polymorphs: 14.7 meV per atom

# 2
This record from Alexandria via LeMat-Bulk describes CsLi2CdAg after structural relaxation. The functional is PBE.

Unit cell a=5.466 b=5.466 c=5.487 alpha=90.00 beta=90.00 gamma=90.00
Fractional positions:
Cs1 0.000 0.000 0.000
Li1 0.000 0.500 0.500
Li2 0.500 0.000 0.500
Cd1 0.500 0.500 0.000
Ag1 0.500 0.500 0.500

Values from the calculation:
- DFT formation energy: 0.048 eV/atom
- SG: P4/mmm, No. 123

# 3
This record from Alexandria via LeMat-Bulk describes Cs2NaCd12Ag3 after structural relaxation. The functional is PBE.

Unit cell a=9.206 b=9.206 c=9.206 alpha=65.74 beta=65.74 gamma=65.74
Fractional positions:
Cs1 0.091 0.091 0.091
Cs2 0.909 0.909 0.909
Na1 0.500 0.500 0.500
Cd1 0.138 0.631 0.631
Cd2 0.169 0.169 0.492
Cd3 0.169 0.492 0.169
Cd4 0.369 0.369 0.862
Cd5 0.369 0.862 0.369
Cd6 0.492 0.169 0.169
Cd7 0.508 0.831 0.831
Cd8 0.631 0.138 0.631
Cd9 0.631 0.631 0.138
Cd10 0.831 0.508 0.831
Cd11 0.831 0.831 0.508
Cd12 0.862 0.369 0.369
Ag1 0.000 0.500 0.500
Ag2 0.500 0.000 0.500
Ag3 0.500 0.500 0.000

Values from the calculation:
- DFT formation energy: 0.135 eV/atom
- SG: R-3m, No. 166

# 4
This record from Alexandria via LeMat-Bulk describes CsCdNiAg2 after structural relaxation. The functional is PBE.

Unit cell a=6.194 b=6.194 c=4.940 alpha=90.00 beta=90.00 gamma=90.00
Fractional positions:
Cs1 0.000 0.000 0.000
Cd1 0.500 0.500 0.500
Ni1 0.000 0.000 0.500
Ag1 0.000 0.500 0.000
Ag2 0.500 0.000 0.000

Values from the calculation:
- DFT formation energy: 1.467 eV/atom
- SG: P4/mmm, No. 123

# 5
This record from Alexandria via LeMat-Bulk describes CsCdAgO2 after structural relaxation. The functional is PBE.

Unit cell a=7.358 b=7.358 c=5.345 alpha=90.00 beta=90.00 gamma=128.97
Fractional positions:
Cs1 0.250 0.750 0.763
Cs2 0.750 0.250 0.237
Cd1 0.250 0.250 0.000
Cd2 0.750 0.750 0.000
Ag1 0.000 0.000 0.500
Ag2 0.500 0.500 0.500
O1 0.097 0.903 0.188
O2 0.403 0.597 0.188
O3 0.597 0.403 0.812
O4 0.903 0.097 0.812

Values from the calculation:
- Raw formation energy: -0.817 eV per atom
- SG: Cmme, No. 67

# 6
This record from Alexandria via LeMat-Bulk describes Cs2CdAgO after structural relaxation. The functional is PBE.

Unit cell a=6.719 b=6.719 c=5.359 alpha=90.00 beta=90.00 gamma=90.00
Fractional positions:
Cs1 0.000 0.500 0.000
Cs2 0.500 0.000 0.000
Cd1 0.000 0.000 0.500
Ag1 0.000 0.000 0.000
O1 0.500 0.500 0.500

Values from the calculation:
- Raw formation energy: 0.116 eV per atom
- SG: P4/mmm, No. 123
- Relative energy among the computed polymorphs: 508.6 meV per atom

Total moment (computed, Bohr magnetons per cell): 0.000 0.000 0.000 0.000 0.000 0.666